This record from Alexandria describes a geometry-optimized BiPO4 structure. The functional is GGA-PBEsol.

Computed properties:
Calculated total energy, eV per cell: -171.660
Formation energy without anion corrections, meV/atom: -1973

a = 6.4567 Å, b = 6.9468 Å, c = 8.1270 Å
α = 90.00°, β = 126.42°, γ = 90.00°
Space group P2_1/c (No. 14)
Symmetry-distinct sites (fractional):
Bi 0.1952 0.1452 0.2828
P 0.3131 0.6621 0.2002
O 0.1349 0.6580 0.6194
O 0.1804 0.5054 0.2411
O 0.3524 0.6016 0.0345
O 0.4061 0.2056 0.1158


This record from Alexandria describes a geometry-optimized BiP2O7 structure. The functional is GGA-PBEsol.

Computed properties:
Calculated total energy, eV per cell: -566.403
Formation energy without anion corrections, meV/atom: -1819

a = 10.3040 Å, b = 8.6075 Å, c = 13.8040 Å
α = 90.00°, β = 111.28°, γ = 90.00°
Space group C2/c (No. 15)
Symmetry-distinct sites (fractional):
Bi 0.1318 0.2481 0.1378
P 0.1288 0.4616 0.9270
P 0.1717 0.0646 0.3694
O 0.0056 0.4597 0.1417
O 0.0374 0.0658 0.3934
O 0.0996 0.3079 0.9712
O 0.1842 0.0913 0.8203
O 0.1849 0.2085 0.3085
O 0.1986 0.4187 0.5219
O 0.2283 0.4441 0.8679